(1)
Below is an optimized crystal structure of AcDy6Y2Ho3, with properties calculated at the PBE level.

```
AcDy6Y2Ho3
1.0
6.1975 0.0004 0.0161
-3.0969 5.3683 0.0161
-1.0609 -1.8370 11.6827
Y Dy Ac Ho
2 6 1 3
Cartesian
3.0991 1.7898 0.0161 Y
0.0015 3.5788 0.0161 Y
-0.0139 -0.0240 8.7011 Dy
2.0750 -0.0096 2.9957 Dy
-1.0453 1.7925 2.9957 Dy
3.0849 1.7392 8.7190 Dy
-0.0353 3.5412 8.7190 Dy
2.0535 3.5556 3.0137 Dy
0.0000 0.0000 0.0000 Ac
4.1135 -0.0209 5.8574 Ho
1.0198 1.7658 5.8574 Ho
-2.0739 3.5525 5.8574 Ho
```

calculated formation energy: 0.033 eV/atom
total magnetization: 0.00 μB/atom
energy: -4.83 eV per atom
SG: C2/m, No. 12

---

(2)
Below is an optimized crystal structure of ReMo2Ru, with properties calculated at the PBE level.

```
ReMo2Ru
1.0
3.1723 0.0000 0.0000
0.0000 3.1723 0.0000
0.0000 0.0000 6.1300
Ru Mo Re
1 2 1
Cartesian
1.5861 1.5861 4.7257 Ru
1.5861 1.5861 1.5883 Mo
0.0000 0.0000 6.0526 Mo
0.0000 0.0000 2.9582 Re
```

calculated formation energy: 0.213 eV/atom
total magnetization: 0.00 μB/atom
energy: -10.63 eV per atom
SG: P4mm, No. 99

---

(3)
Below is an optimized crystal structure of Zr2Bi2I, with properties calculated at the PBE level.

```
Zr2Bi2I
1.0
8.3499 0.0000 0.0000
0.0000 8.3499 0.0000
0.0000 0.0000 3.8834
Zr I Bi
4 2 4
Cartesian
5.3847 1.2098 0.0000 Zr
1.2098 2.9652 0.0000 Zr
2.9652 7.1402 0.0000 Zr
7.1402 5.3847 0.0000 Zr
0.0000 0.0000 0.0000 I
4.1750 4.1750 0.0000 I
5.3788 7.1461 1.9417 Bi
7.1461 2.9711 1.9417 Bi
2.9711 1.2038 1.9417 Bi
1.2038 5.3788 1.9417 Bi
```

total magnetization: 0.00 μB/atom
energy: -5.60 eV per atom
SG: P4/mbm, No. 127
uncorrected formation energy: -30.6 kJ per mole of atoms

---

(4)
Below is an optimized crystal structure of TbIn6Hg8, with properties calculated at the PBE level.

```
TbIn6Hg8
1.0
7.3268 -0.3270 1.4496
1.1273 7.2469 1.4496
-0.3995 -0.3270 7.4581
Hg Tb In
8 1 6
Cartesian
3.7757 5.9274 2.4291 Hg
4.2789 0.6655 7.9281 Hg
1.7524 1.4344 2.2534 Hg
0.7396 2.5300 6.9529 Hg
1.9626 6.3679 6.0996 Hg
7.3150 4.0630 3.4043 Hg
6.3022 5.1585 8.1039 Hg
6.0920 0.2250 4.2577 Hg
0.0000 0.0000 0.0000 Tb
4.6501 2.7350 2.9217 In
6.1095 2.5750 6.1486 In
3.0144 1.1128 5.2264 In
5.0402 5.4802 5.1308 In
3.4045 3.8579 7.4356 In
1.9451 4.0179 4.2087 In
```

calculated formation energy: -0.040 eV/atom
total magnetization: 0.00 μB/atom
energy: -1.60 eV per atom
SG: R-3, No. 148

---

So what do the calculations give for DOS(E_F)? Going down the list: 1.329; 1.364; 0.431; 0.374 states/eV per atom.